A plane-wave DFT calculation with GGA-PBE was carried out for a relaxed RbGeB2F8 crystal.

Formation energy from raw total energies (meV per atom): -2537
M_tot (μB per cell): 3.02
Calculated volume (Å³ per cell): 579.76

The structure in CIF format:
```
data_RbGeB2F8
_cell_length_a 4.8877
_cell_length_b 4.8877
_cell_length_c 28.0230
_cell_angle_alpha 90.00
_cell_angle_beta 90.00
_cell_angle_gamma 120.00
_space_group_name_H-M_alt 'R -3'
_space_group_IT_number 148
_space_group_name_Hall '-R 3'
loop_
_atom_site_label
_atom_site_type_symbol
_atom_site_fract_x
_atom_site_fract_y
_atom_site_fract_z
Rb1 Rb 0.0000 0.0000 0.0000
Ge1 Ge 0.0000 0.0000 0.5000
B1 B 0.0000 0.0000 0.2538
F1 F 0.0000 0.0000 0.3049
F2 F 0.0152 0.7329 0.2380
```


A plane-wave DFT calculation with GGA-PBE was carried out for a relaxed Rb2GeBF6 crystal.

Formation energy from raw total energies (meV per atom): -2162
M_tot (μB per cell): 2.00
Calculated volume (Å³ per cell): 322.29

The structure in CIF format:
```
data_Rb2GeBF6
_cell_length_a 5.823
_cell_length_b 5.823
_cell_length_c 9.506
_cell_angle_alpha 90.00
_cell_angle_beta 90.00
_cell_angle_gamma 90.00
_space_group_name_H-M_alt 'I 4/m m m'
_space_group_IT_number 139
_space_group_name_Hall '-I 4 2'
loop_
_atom_site_label
_atom_site_type_symbol
_atom_site_fract_x
_atom_site_fract_y
_atom_site_fract_z
Rb1 Rb 0.000 0.500 0.250
Ge1 Ge 0.000 0.000 0.000
B1 B 0.000 0.000 0.500
F1 F 0.000 0.000 0.352
F2 F 0.225 0.225 0.500
```


A plane-wave DFT calculation with GGA-PBE was carried out for a relaxed SrGe2BF crystal.

Formation energy from raw total energies (meV per atom): 250
M_tot (μB per cell): 0.00
Calculated volume (Å³ per cell): 99.49

The structure in CIF format:
```
data_SrGe2BF
_cell_length_a 4.540
_cell_length_b 4.540
_cell_length_c 4.827
_cell_angle_alpha 90.00
_cell_angle_beta 90.00
_cell_angle_gamma 90.00
_space_group_name_H-M_alt 'P 4/m m m'
_space_group_IT_number 123
_space_group_name_Hall '-P 4 2'
loop_
_atom_site_label
_atom_site_type_symbol
_atom_site_fract_x
_atom_site_fract_y
_atom_site_fract_z
Sr1 Sr 0.000 0.000 0.000
Ge1 Ge 0.000 0.500 0.500
B1 B 0.500 0.500 0.000
F1 F 0.500 0.500 0.500
```


A plane-wave DFT calculation with GGA-PBE was carried out for a relaxed TlGeB2F8 crystal.

Formation energy from raw total energies (meV per atom): -2348
M_tot (μB per cell): 3.02
Calculated volume (Å³ per cell): 587.24

The structure in CIF format:
```
data_TlGeB2F8
_cell_length_a 4.8913
_cell_length_b 4.8913
_cell_length_c 28.3421
_cell_angle_alpha 90.00
_cell_angle_beta 90.00
_cell_angle_gamma 120.00
_space_group_name_H-M_alt 'R -3'
_space_group_IT_number 148
_space_group_name_Hall '-R 3'
loop_
_atom_site_label
_atom_site_type_symbol
_atom_site_fract_x
_atom_site_fract_y
_atom_site_fract_z
Tl1 Tl 0.0000 0.0000 0.0000
Ge1 Ge 0.0000 0.0000 0.5000
B1 B 0.0000 0.0000 0.2526
F1 F 0.0000 0.0000 0.3034
F2 F 0.0167 0.2827 0.2371
```